! ZrScOsRh | Alexandria via LeMat-Bulk | PBE | optimized geometry; values from VASP
! D(E_F)	0.327	states/eV per atom
! polymorph energy (0 for the lowest one)	0	meV per atom
! crystal system	tetragonal
! symmetry	P4mm
! formation enthalpy at 0 K	-285	kJ/mol of formula units
&SYSTEM
  ibrav = 0, nat = 4, ntyp = 4
/
ATOMIC_SPECIES
Zr 91.22 Zr.upf
Sc 44.96 Sc.upf
Os 190.23 Os.upf
Rh 102.91 Rh.upf
CELL_PARAMETERS angstrom
3.2782 0.0000 0.0000
0.0000 3.2782 0.0000
0.0000 0.0000 6.4518
ATOMIC_POSITIONS crystal
Zr 0.0000 0.0000 0.0000
Sc 0.0000 0.0000 0.4962
Os 0.5000 0.5000 0.2451
Rh 0.5000 0.5000 0.7469

---

! OsRhSe2 | Alexandria via LeMat-Bulk | PBE | optimized geometry; values from VASP
! D(E_F)	0.660	states/eV per atom
! polymorph energy (0 for the lowest one)	54	meV per atom
! formation energy from raw total energies	0.59	eV per formula unit
! crystal system	orthorhombic
! symmetry	Pmm2
&SYSTEM
  ibrav = 0, nat = 4, ntyp = 3
/
ATOMIC_SPECIES
Os 190.23 Os.upf
Rh 102.91 Rh.upf
Se 78.96 Se.upf
CELL_PARAMETERS angstrom
3.1394 0.0000 0.0000
0.0000 3.7147 0.0000
0.0000 0.0000 6.3940
ATOMIC_POSITIONS crystal
Os 0.0000 0.0000 0.0000
Rh 0.5000 0.5000 0.2383
Se 0.0000 0.0000 0.3781
Se 0.5000 0.5000 0.8496

---

! OsRhSe2 | Alexandria via LeMat-Bulk | PBE | optimized geometry; values from VASP
! D(E_F)	1.259	states/eV per atom
! polymorph energy (0 for the lowest one)	406	meV per atom
! formation energy from raw total energies	2.00	eV per formula unit
! crystal system	orthorhombic
! symmetry	Cmm2
&SYSTEM
  ibrav = 0, nat = 4, ntyp = 3
/
ATOMIC_SPECIES
Os 190.23 Os.upf
Rh 102.91 Rh.upf
Se 78.96 Se.upf
CELL_PARAMETERS angstrom
1.4447 -2.5122 0.0000
1.4447 2.5122 0.0000
0.0000 0.0000 9.9830
ATOMIC_POSITIONS crystal
Os 0.0000 0.0000 0.0000
Rh 0.5000 0.5000 0.2335
Se 0.0000 0.0000 0.4395
Se 0.5000 0.5000 0.7971

---

! OsRhSe2 | Alexandria via LeMat-Bulk | PBE | optimized geometry; values from VASP
! D(E_F)	1.164	states/eV per atom
! polymorph energy (0 for the lowest one)	788	meV per atom
! formation energy from raw total energies	3.53	eV per formula unit
! crystal system	cubic
! symmetry	F-43m
&SYSTEM
  ibrav = 0, nat = 4, ntyp = 3
/
ATOMIC_SPECIES
Os 190.23 Os.upf
Rh 102.91 Rh.upf
Se 78.96 Se.upf
CELL_PARAMETERS angstrom
0.0000 3.2014 3.2014
3.2014 0.0000 3.2014
3.2014 3.2014 0.0000
ATOMIC_POSITIONS crystal
Os 0.0000 0.0000 0.0000
Rh 0.2500 0.2500 0.2500
Se 0.5000 0.5000 0.5000
Se 0.7500 0.7500 0.7500